Entry 1:
# LiCr2Fe PBE optimized geometry
# DOS(E_F)   6.080 states/eV/cell
# DFT formation energy   381.9 meV/atom
data_LiCr2Fe
_symmetry_space_group_name_H-M 'C 1 m 1'
_symmetry_Int_Tables_number 8
_cell_length_a 8.200
_cell_length_b 2.351
_cell_length_c 4.772
_cell_angle_alpha 90.00
_cell_angle_beta 91.59
_cell_angle_gamma 90.00
loop_
_symmetry_equiv_pos_as_xyz
'x,y,z'
'x,-y,z'
'x+1/2,y+1/2,z'
'x+1/2,-y+1/2,z'
loop_
_atom_site_label
_atom_site_fract_x
_atom_site_fract_y
_atom_site_fract_z
_atom_site_occupancy
Li1 0.000 0.000 0.000 1
Cr1 0.007 0.500 0.502 1
Cr2 0.250 0.500 0.253 1
Fe1 0.254 0.000 0.759 1

Entry 2:
# Li2CrFe PBE optimized geometry
# DOS(E_F)   6.169 states/eV/cell
# DFT formation energy   375.6 meV/atom
data_Li2CrFe
_symmetry_space_group_name_H-M 'C 1 m 1'
_symmetry_Int_Tables_number 8
_cell_length_a 8.154
_cell_length_b 2.356
_cell_length_c 5.221
_cell_angle_alpha 90.00
_cell_angle_beta 91.23
_cell_angle_gamma 90.00
loop_
_symmetry_equiv_pos_as_xyz
'x,y,z'
'x,-y,z'
'x+1/2,y+1/2,z'
'x+1/2,-y+1/2,z'
loop_
_atom_site_label
_atom_site_fract_x
_atom_site_fract_y
_atom_site_fract_z
_atom_site_occupancy
Li1 0.000 0.000 0.000 1
Li2 0.250 0.000 0.768 1
Cr1 0.000 0.500 0.465 1
Fe1 0.245 0.500 0.296 1

Entry 3:
# LiCr2Fe PBE optimized geometry
# DOS(E_F)   7.117 states/eV/cell
# DFT formation energy   380.2 meV/atom
data_LiCr2Fe
_symmetry_space_group_name_H-M 'C m m m'
_symmetry_Int_Tables_number 65
_symmetry_space_group_name_Hall '-C 2 2'
_cell_length_a 4.745
_cell_length_b 8.196
_cell_length_c 2.354
_cell_angle_alpha 90.00
_cell_angle_beta 90.00
_cell_angle_gamma 90.00
loop_
_atom_site_label
_atom_site_fract_x
_atom_site_fract_y
_atom_site_fract_z
_atom_site_occupancy
Li1 0.000 0.000 0.000 1
Cr1 0.250 0.250 0.500 1
Fe1 0.000 0.500 0.000 1

For reference, ΔE to the lowest computed polymorph by record: 0.153 0.118 0.152 eV/atom.